1.
Here is crystalline CeBrCl3 at its relaxed geometry from Alexandria. Energies are from PBE-GGA.

As for the symmetry: C2/m. The crystal system is monoclinic.

Unit cell a=7.262 b=7.262 c=7.142 alpha=106.19 beta=113.71 gamma=109.29
Fractional positions:
Br  0.704  0.061  0.766
Cl  0.751  0.553  0.683
Cl  0.312  0.562  0.874
Cl  0.249  0.447  0.317
Br  0.296  0.939  0.234
Cl  0.870  0.068  0.317
Ce  0.631  0.742  0.373
Cl  0.688  0.438  0.126
Cl  0.130  0.932  0.683
Ce  0.369  0.258  0.627

=====

2.
Here is crystalline CeBrCl3 at its relaxed geometry from Alexandria. Energies are from PBE-GGA.

As for the symmetry: P2_1/m. The crystal system is monoclinic.

Unit cell a=6.569 b=6.597 c=8.452 alpha=90.00 beta=90.00 gamma=89.61
Fractional positions:
Cl  0.310  0.185  0.000
Br  0.782  0.287  0.750
Cl  0.690  0.815  0.500
Cl  0.690  0.815  0.000
Cl  0.770  0.273  0.250
Br  0.218  0.713  0.250
Cl  0.230  0.727  0.750
Cl  0.310  0.185  0.500
Ce  0.497  0.998  0.750
Ce  0.503  0.002  0.250

=====

3.
Here is crystalline CeBrCl at its relaxed geometry from Alexandria. Energies are from PBE-GGA.

As for the symmetry: P3m1. The crystal system is trigonal.

Unit cell a=3.993 b=3.993 c=7.181 alpha=90.00 beta=90.00 gamma=120.00
Fractional positions:
Br  0.000  0.000  0.075
Cl  0.333  0.667  0.582
Ce  0.667  0.333  0.343

=====

4.
Here is crystalline CeBrCl at its relaxed geometry from Alexandria. Energies are from PBE-GGA.

As for the symmetry: P-1. The crystal system is triclinic.

Unit cell a=3.970 b=4.908 c=8.218 alpha=91.32 beta=90.12 gamma=89.79
Fractional positions:
Cl  0.314  0.866  0.888
Br  0.313  0.366  0.295
Cl  0.814  0.368  0.951
Ce  0.312  0.358  0.679
Br  0.813  0.865  0.545
Ce  0.815  0.876  0.161

=====

5.
Here is crystalline Ce2BrCl at its relaxed geometry from Alexandria. Energies are from PBE-GGA.

As for the symmetry: R-3m. The crystal system is trigonal.

Unit cell a=3.687 b=3.687 c=8.748 alpha=77.83 beta=77.83 gamma=60.00
Fractional positions:
Ce  0.255  0.255  0.236
Ce  0.745  0.745  0.764
Br  0.500  0.500  0.500
Cl  0.000  0.000  0.000

=====

6.
Here is crystalline Ce2Br3Cl2 at its relaxed geometry from Alexandria. Energies are from PBE-GGA.

As for the symmetry: C2/m. The crystal system is monoclinic.

Unit cell a=4.081 b=6.989 c=9.006 alpha=111.86 beta=103.10 gamma=106.98
Fractional positions:
Ce  0.026  0.846  0.205
Cl  0.656  0.479  0.834
Br  0.818  0.188  0.448
Br  0.182  0.812  0.552
Br  0.500  0.000  0.000
Ce  0.974  0.154  0.795
Cl  0.344  0.521  0.166

=====

7.
Here is crystalline Ce2Br4Cl at its relaxed geometry from Alexandria. Energies are from PBE-GGA.

As for the symmetry: R-3m. The crystal system is trigonal.

Unit cell a=5.267 b=5.267 c=10.355 alpha=75.27 beta=75.27 gamma=60.00
Fractional positions:
Br  0.298  0.298  0.105
Ce  0.594  0.594  0.218
Cl  0.500  0.500  0.500
Br  0.903  0.903  0.292
Br  0.097  0.097  0.708
Ce  0.406  0.406  0.782
Br  0.702  0.702  0.895

=====

8.
Here is crystalline CeBr3Cl at its relaxed geometry from Alexandria. Energies are from PBE-GGA.

As for the symmetry: Imma. The crystal system is orthorhombic.

Unit cell a=8.034 b=8.034 c=8.034 alpha=106.09 beta=107.30 gamma=115.18
Fractional positions:
Br  0.015  0.218  0.296
Ce  0.968  0.968  0.500
Ce  0.468  0.468  0.500
Cl  0.396  0.218  0.677
Br  0.469  0.746  0.777
Br  0.922  0.718  0.704
Cl  0.541  0.718  0.323
Br  0.968  0.246  0.777
Br  0.968  0.691  0.223
Br  0.469  0.191  0.223

=====

9.
Here is crystalline CeBr2Cl at its relaxed geometry from Alexandria. Energies are from PBE-GGA.

As for the symmetry: Cmcm. The crystal system is orthorhombic.

Unit cell a=4.113 b=7.170 c=9.237 alpha=90.00 beta=90.00 gamma=106.67
Fractional positions:
Br  0.649  0.297  0.435
Br  0.649  0.297  0.065
Ce  0.257  0.515  0.250
Br  0.351  0.703  0.565
Br  0.351  0.703  0.935
Cl  0.892  0.785  0.250
Cl  0.108  0.215  0.750
Ce  0.743  0.485  0.750

=====

10.
Here is crystalline Ce2BrCl at its relaxed geometry from Alexandria. Energies are from PBE-GGA.

As for the symmetry: R3m. The crystal system is trigonal.

Unit cell a=3.605 b=3.605 c=9.231 alpha=78.74 beta=78.74 gamma=60.00
Fractional positions:
Br  0.668  0.668  0.996
Ce  0.087  0.087  0.740
Cl  0.499  0.499  0.504
Ce  0.246  0.246  0.261

=====

11.
Here is crystalline Ce3BrCl7 at its relaxed geometry from Alexandria. Energies are from PBE-GGA.

As for the symmetry: P3m1. The crystal system is trigonal.

Unit cell a=6.547 b=8.662 c=8.662 alpha=120.00 beta=90.00 gamma=90.00
Fractional positions:
Ce  0.788  0.501  0.002
Br  0.523  0.333  0.667
Cl  0.567  0.818  0.637
Cl  0.567  0.363  0.182
Cl  0.567  0.818  0.182
Cl  0.019  0.667  0.333
Cl  0.003  0.181  0.819
Cl  0.003  0.181  0.362
Cl  0.003  0.638  0.819
Ce  0.788  0.998  0.499
Ce  0.788  0.501  0.499

=====

12.
Here is crystalline Ce3Br4Cl5 at its relaxed geometry from Alexandria. Energies are from PBE-GGA.

As for the symmetry: P-1. The crystal system is triclinic.

Unit cell a=5.650 b=11.392 c=7.313 alpha=108.47 beta=76.37 gamma=108.79
Fractional positions:
Ce  0.389  0.621  0.808
Br  0.757  0.638  0.456
Br  0.243  0.362  0.544
Cl  0.000  0.000  0.500
Br  0.181  0.440  0.095
Cl  0.312  0.831  0.734
Ce  0.500  0.000  0.500
Br  0.819  0.560  0.905
Cl  0.534  0.198  0.835
Ce  0.611  0.379  0.192
Cl  0.466  0.802  0.165
Cl  0.688  0.169  0.266

=====

Number 1: calculated volume 28.6 A^3/atom, formation energy from raw total energies -9.043 eV per formula unit, total energy -4.438 eV/atom. Number 2: calculated volume 36.6 A^3/atom, formation energy from raw total energies -9.019 eV per formula unit, total energy -4.433 eV/atom. Number 3: calculated volume 33.0 A^3/atom, formation energy from raw total energies -5.315 eV per formula unit, total energy -4.923 eV/atom. Number 4: calculated volume 26.7 A^3/atom, formation energy from raw total energies -5.033 eV per formula unit, total energy -4.829 eV/atom. Number 5: calculated volume 25.0 A^3/atom, formation energy from raw total energies -4.854 eV per formula unit, total energy -5.060 eV/atom. Number 6: calculated volume 30.2 A^3/atom, formation energy from raw total energies -13.322 eV per formula unit, total energy -4.843 eV/atom. Number 7: calculated volume 34.0 A^3/atom, formation energy from raw total energies -12.192 eV per formula unit, total energy -4.657 eV/atom. Number 8: calculated volume 39.6 A^3/atom, formation energy from raw total energies -8.110 eV per formula unit, total energy -4.182 eV/atom. Number 9: calculated volume 32.6 A^3/atom, formation energy from raw total energies -7.823 eV per formula unit, total energy -4.737 eV/atom. Number 10: calculated volume 25.3 A^3/atom, formation energy from raw total energies -4.754 eV per formula unit, total energy -5.035 eV/atom. Number 11: calculated volume 38.7 A^3/atom, formation energy from raw total energies -22.767 eV per formula unit, total energy -5.015 eV/atom. Number 12: calculated volume 34.8 A^3/atom, formation energy from raw total energies -23.860 eV per formula unit, total energy -4.799 eV/atom.